(1)
GdLuBe after structural relaxation. Source: the Alexandria database, functional GGA-PBE.

abc: 6.4563 6.4563 6.4563
angles: 149.22 149.22 44.09
Fractional coordinates of all 3 atoms:
Gd  0.0000  0.0000  0.0000
Lu  0.2718  0.2718  0.0000
Be  0.6449  0.6449  0.0000

Summary:
Total magnetic moment (μB per cell): 7.4
Total energy (eV per cell): -22.080
Space group: No. 107
Energy of formation (eV per atom): 0.08

(2)
NbF after structural relaxation. Source: the Alexandria database, functional GGA-PBE.

abc: 6.4931 6.4931 6.4931
angles: 109.47 109.47 109.47
Fractional coordinates of all 8 atoms:
Nb  0.0000  0.0000  0.2409
Nb  0.0000  0.2409  0.0000
Nb  0.2409  0.0000  0.0000
Nb  0.7591  0.7591  0.7591
F  0.0000  0.0000  0.5862
F  0.0000  0.5862  0.0000
F  0.4138  0.4138  0.4138
F  0.5862  0.0000  0.0000

Summary:
Total magnetic moment (μB per cell): 3.4
Total energy (eV per cell): -51.823
Space group: No. 217
ΔE_f (raw) (eV/atom): -0.51
Offset from the most stable computed form (eV per atom): 1.131

- What is the total energy in the second record?
  -51.823 eV per cell